1.
# La3Tb6Nd2Sc | Alexandria | GGA-PBE | optimized geometry
data_La3Tb6Nd2Sc
_cell_length_a 6.235
_cell_length_b 6.235
_cell_length_c 11.925
_cell_angle_alpha 95.00
_cell_angle_beta 95.00
_cell_angle_gamma 120.03
_symmetry_space_group_name_H-M 'P 1'
_symmetry_Int_Tables_number 1
_symmetry_space_group_name_Hall 'P 1'
loop_
_atom_site_label
_atom_site_fract_x
_atom_site_fract_y
_atom_site_fract_z
Nd1 0.334 0.666 0.000
La1 0.500 0.500 0.500
La2 0.167 0.833 0.500
Tb1 0.249 0.249 0.755
Tb2 0.751 0.751 0.245
La3 0.833 0.167 0.500
Tb3 0.081 0.411 0.245
Tb4 0.411 0.081 0.245
Sc1 0.000 0.000 0.000
Tb5 0.919 0.589 0.755
Tb6 0.589 0.919 0.755
Nd2 0.666 0.334 0.000
# Total magnetic moment in μB per formula unit: 0.0
# Volume in Å³ per cell: 395.22
# E in eV per atom: -4.842
# Energy of formation in eV/atom: 0.028



2.
# La5TbNd2Sc | Alexandria | GGA-PBE | optimized geometry
data_La5TbNd2Sc
_cell_length_a 8.543
_cell_length_b 8.543
_cell_length_c 10.614
_cell_angle_alpha 113.73
_cell_angle_beta 113.73
_cell_angle_gamma 90.00
_symmetry_space_group_name_H-M 'P 1'
_symmetry_Int_Tables_number 1
_symmetry_space_group_name_Hall 'P 1'
loop_
_atom_site_label
_atom_site_fract_x
_atom_site_fract_y
_atom_site_fract_z
La1 0.865 0.925 0.291
Nd1 0.626 0.126 0.000
Sc1 0.250 0.750 0.500
La2 0.425 0.365 0.291
La3 0.135 0.075 0.709
La4 0.635 0.135 0.709
Tb1 0.250 0.250 0.500
Nd2 0.874 0.626 0.000
La5 0.575 0.635 0.709
Tb2 0.750 0.750 0.500
Nd3 0.374 0.874 0.000
La6 0.925 0.425 0.291
La7 0.500 0.500 0.000
Sc2 0.750 0.250 0.500
La8 0.075 0.575 0.709
La9 0.365 0.865 0.291
La10 0.000 0.000 0.000
Nd4 0.126 0.374 0.000
# Total magnetic moment in μB per formula unit: 0.0
# Volume in Å³ per cell: 636.89
# E in eV per atom: -4.741
# Energy of formation in eV/atom: 0.274



3.
# LaTbNdSc | Alexandria | GGA-PBE | optimized geometry
data_LaTbNdSc
_cell_length_a 5.667
_cell_length_b 5.667
_cell_length_c 5.667
_cell_angle_alpha 60.00
_cell_angle_beta 60.00
_cell_angle_gamma 60.00
_symmetry_space_group_name_H-M 'P 1'
_symmetry_Int_Tables_number 1
_symmetry_space_group_name_Hall 'P 1'
loop_
_atom_site_label
_atom_site_fract_x
_atom_site_fract_y
_atom_site_fract_z
Nd1 0.000 0.000 0.000
La1 0.500 0.500 0.500
Sc1 0.750 0.750 0.750
Tb1 0.250 0.250 0.250
# Total magnetic moment in μB per formula unit: 0.0
# Volume in Å³ per cell: 128.72
# E in eV per atom: -5.066
# Energy of formation in eV/atom: 0.098



4.
# LaTbNd2Sc | Alexandria | GGA-PBE | optimized geometry
data_LaTbNd2Sc
_cell_length_a 6.345
_cell_length_b 9.064
_cell_length_c 6.300
_cell_angle_alpha 110.29
_cell_angle_beta 90.00
_cell_angle_gamma 90.00
_symmetry_space_group_name_H-M 'P 1'
_symmetry_Int_Tables_number 1
_symmetry_space_group_name_Hall 'P 1'
loop_
_atom_site_label
_atom_site_fract_x
_atom_site_fract_y
_atom_site_fract_z
Tb1 0.840 0.500 0.250
Nd1 0.679 0.687 0.843
Nd2 0.321 0.687 0.343
Nd3 0.679 0.313 0.657
Tb2 0.160 0.500 0.750
Nd4 0.321 0.313 0.157
Sc1 0.499 0.000 0.750
La1 0.000 0.000 0.500
Sc2 0.501 0.000 0.250
La2 0.000 0.000 0.000
# Total magnetic moment in μB per formula unit: 0.0
# Volume in Å³ per cell: 339.84
# E in eV per atom: -4.830
# Energy of formation in eV/atom: 0.255



5.
# La2TbNdSc | Alexandria | GGA-PBE | optimized geometry
data_La2TbNdSc
_cell_length_a 7.289
_cell_length_b 8.316
_cell_length_c 7.143
_cell_angle_alpha 125.60
_cell_angle_beta 90.00
_cell_angle_gamma 90.00
_symmetry_space_group_name_H-M 'P 1'
_symmetry_Int_Tables_number 1
_symmetry_space_group_name_Hall 'P 1'
loop_
_atom_site_label
_atom_site_fract_x
_atom_site_fract_y
_atom_site_fract_z
Sc1 0.250 0.988 0.975
La1 0.000 0.699 0.000
Nd1 0.750 0.270 0.540
Sc2 0.750 0.012 0.025
Tb1 0.250 0.252 0.504
La2 0.000 0.301 0.000
Tb2 0.750 0.748 0.496
Nd2 0.250 0.730 0.460
La3 0.500 0.301 0.000
La4 0.500 0.699 0.000
# Total magnetic moment in μB per formula unit: 0.0
# Volume in Å³ per cell: 352.05
# E in eV per atom: -4.770
# Energy of formation in eV/atom: 0.347



6.
# La4TbNd2Sc | Alexandria | GGA-PBE | optimized geometry
data_La4TbNd2Sc
_cell_length_a 5.202
_cell_length_b 5.168
_cell_length_c 11.394
_cell_angle_alpha 63.01
_cell_angle_beta 90.00
_cell_angle_gamma 90.00
_symmetry_space_group_name_H-M 'P 1'
_symmetry_Int_Tables_number 1
_symmetry_space_group_name_Hall 'P 1'
loop_
_atom_site_label
_atom_site_fract_x
_atom_site_fract_y
_atom_site_fract_z
La1 0.000 0.245 0.255
Sc1 0.000 0.500 0.500
Tb1 0.500 0.500 0.000
La2 0.500 0.254 0.746
La3 0.000 0.755 0.745
Nd1 0.500 0.000 0.500
La4 0.500 0.746 0.254
Nd2 0.000 0.000 0.000
# Total magnetic moment in μB per formula unit: 0.0
# Volume in Å³ per cell: 272.95
# E in eV per atom: -4.998
# Energy of formation in eV/atom: 0.027



7.
# LaNdScTe3 | Alexandria | GGA-PBE | optimized geometry
data_LaNdScTe3
_cell_length_a 4.381
_cell_length_b 9.172
_cell_length_c 9.965
_cell_angle_alpha 105.29
_cell_angle_beta 90.00
_cell_angle_gamma 90.00
_symmetry_space_group_name_H-M 'P 1'
_symmetry_Int_Tables_number 1
_symmetry_space_group_name_Hall 'P 1'
loop_
_atom_site_label
_atom_site_fract_x
_atom_site_fract_y
_atom_site_fract_z
Te1 0.250 0.757 0.502
Te2 0.750 0.424 0.184
Nd1 0.250 0.658 0.149
Sc1 0.750 0.907 0.403
Te3 0.250 0.096 0.884
Te4 0.750 0.243 0.498
Sc2 0.250 0.093 0.597
La1 0.250 0.179 0.229
Nd2 0.750 0.342 0.851
Te5 0.750 0.904 0.116
Te6 0.250 0.576 0.816
La2 0.750 0.821 0.771
# Total magnetic moment in μB per formula unit: 0.7
# Volume in Å³ per cell: 386.23
# E in eV per atom: -5.543



8.
# La3Nd4ScTe8 | Alexandria | GGA-PBE | optimized geometry
data_La3Nd4ScTe8
_cell_length_a 9.000
_cell_length_b 8.990
_cell_length_c 8.995
_cell_angle_alpha 119.98
_cell_angle_beta 120.02
_cell_angle_gamma 90.00
_symmetry_space_group_name_H-M 'P 1'
_symmetry_Int_Tables_number 1
_symmetry_space_group_name_Hall 'P 1'
loop_
_atom_site_label
_atom_site_fract_x
_atom_site_fract_y
_atom_site_fract_z
Te1 0.241 0.744 0.482
Te2 0.752 0.755 0.503
Te3 0.759 0.256 0.997
Nd1 0.000 0.000 0.000
Te4 0.248 0.245 0.497
Nd2 0.500 0.000 0.000
Nd3 0.500 0.000 0.500
Te5 0.759 0.256 0.518
Te6 0.241 0.744 0.003
Te7 0.238 0.256 0.997
Te8 0.762 0.744 0.003
Nd4 0.000 0.000 0.500
La1 0.000 0.500 0.500
Sc1 0.000 0.500 0.000
La2 0.500 0.500 0.000
La3 0.500 0.500 0.500
# Total magnetic moment in μB per formula unit: 0.0
# Volume in Å³ per cell: 514.60
# E in eV per atom: -5.509



9.
# La3Nd3ScTe8 | Alexandria | GGA-PBE | optimized geometry
data_La3Nd3ScTe8
_cell_length_a 8.991
_cell_length_b 8.991
_cell_length_c 9.046
_cell_angle_alpha 119.81
_cell_angle_beta 90.00
_cell_angle_gamma 120.00
_symmetry_space_group_name_H-M 'P 1'
_symmetry_Int_Tables_number 1
_symmetry_space_group_name_Hall 'P 1'
loop_
_atom_site_label
_atom_site_fract_x
_atom_site_fract_y
_atom_site_fract_z
Te1 0.239 0.997 0.736
La1 0.000 0.000 0.000
La2 0.000 0.500 0.000
Te2 0.239 0.479 0.736
Te3 0.761 0.003 0.264
Nd1 0.500 0.500 0.500
Te4 0.748 0.497 0.745
Te5 0.758 0.997 0.736
Nd2 0.000 0.500 0.500
Te6 0.252 0.503 0.255
Sc1 0.000 0.000 0.500
La3 0.500 0.500 0.000
Nd3 0.500 0.000 0.500
Te7 0.242 0.003 0.264
Te8 0.761 0.521 0.264
# Total magnetic moment in μB per formula unit: 0.0
# Volume in Å³ per cell: 518.57
# E in eV per atom: -5.513



10.
# La4Nd3ScTe8 | Alexandria | GGA-PBE | optimized geometry
data_La4Nd3ScTe8
_cell_length_a 9.035
_cell_length_b 8.985
_cell_length_c 9.034
_cell_angle_alpha 120.18
_cell_angle_beta 120.00
_cell_angle_gamma 90.00
_symmetry_space_group_name_H-M 'P 1'
_symmetry_Int_Tables_number 1
_symmetry_space_group_name_Hall 'P 1'
loop_
_atom_site_label
_atom_site_fract_x
_atom_site_fract_y
_atom_site_fract_z
Te1 0.239 0.736 0.997
Te2 0.239 0.736 0.479
Te3 0.252 0.255 0.503
Nd1 0.500 0.500 0.500
La1 0.500 0.000 0.500
Te4 0.761 0.264 0.521
Te5 0.748 0.745 0.497
La2 0.500 0.000 0.000
La3 0.000 0.000 0.500
Te6 0.758 0.736 0.997
Nd2 0.000 0.500 0.500
La4 0.000 0.000 0.000
Te7 0.242 0.264 0.003
Sc1 0.000 0.500 0.000
Nd3 0.500 0.500 0.000
Te8 0.761 0.264 0.003
# Total magnetic moment in μB per formula unit: 0.0
# Volume in Å³ per cell: 517.14
# E in eV per atom: -5.547



11.
# La3Nd2ScTe6 | Alexandria | GGA-PBE | optimized geometry
data_La3Nd2ScTe6
_cell_length_a 4.478
_cell_length_b 9.004
_cell_length_c 10.008
_cell_angle_alpha 102.42
_cell_angle_beta 102.93
_cell_angle_gamma 90.00
_symmetry_space_group_name_H-M 'P 1'
_symmetry_Int_Tables_number 1
_symmetry_space_group_name_Hall 'P 1'
loop_
_atom_site_label
_atom_site_fract_x
_atom_site_fract_y
_atom_site_fract_z
La1 0.500 0.500 0.000
Te1 0.333 0.420 0.666
Te2 0.001 0.771 0.003
Te3 0.344 0.919 0.688
Te4 0.999 0.229 0.997
La2 0.827 0.164 0.654
La3 0.173 0.836 0.346
Te5 0.656 0.081 0.312
Sc1 0.500 0.000 0.000
Nd1 0.167 0.334 0.335
Te6 0.667 0.580 0.334
Nd2 0.833 0.666 0.665
# Total magnetic moment in μB per formula unit: 0.0
# Volume in Å³ per cell: 383.61
# E in eV per atom: -5.570



12.
# LaNd2ScTl2 | Alexandria | GGA-PBE | optimized geometry
data_LaNd2ScTl2
_cell_length_a 4.800
_cell_length_b 8.334
_cell_length_c 9.381
_cell_angle_alpha 90.00
_cell_angle_beta 90.00
_cell_angle_gamma 90.00
_symmetry_space_group_name_H-M 'P 1'
_symmetry_Int_Tables_number 1
_symmetry_space_group_name_Hall 'P 1'
loop_
_atom_site_label
_atom_site_fract_x
_atom_site_fract_y
_atom_site_fract_z
La1 0.000 0.985 0.427
Nd1 0.500 0.033 0.083
Tl1 0.000 0.243 0.857
Tl2 0.000 0.743 0.143
Nd2 0.000 0.363 0.174
Tl3 0.500 0.775 0.613
Nd3 0.500 0.533 0.917
Tl4 0.500 0.275 0.387
Sc1 0.500 0.647 0.311
La2 0.000 0.485 0.573
Sc2 0.500 0.147 0.689
Nd4 0.000 0.863 0.826
# Total magnetic moment in μB per formula unit: 2.0
# Volume in Å³ per cell: 375.26
# E in eV per atom: -4.520
# Energy of formation in eV/atom: -0.265



Q: Which value of E does entry 9 give?
A: -5.513 eV per atom



Q: Which formula does entry 4 have?
A: LaTbNd2Sc



Q: volume of number 2 (La5TbNd2Sc)?
A: 636.89 Å³ per cell